# 1
The following is a DFT calculation (PBE) of an optimized crystal structure of KCdGa2.

a = 4.6393 Å, b = 4.6393 Å, c = 6.8531 Å
α = 70.22°, β = 70.22°, γ = 60.00°
Sites, in units of the cell vectors:
Ga  0.2907  0.2907  0.1280
K  0.5000  0.5000  0.5000
Ga  0.7093  0.7093  0.8720
Cd  0.0000  0.0000  0.0000

M_tot: 0.0 μB per formula unit
Total energy: -2.03 eV per atom
Formation energy: -18 meV per atom
Mass density: 4.11 g/cm3

***

# 2
The following is a DFT calculation (PBE) of an optimized crystal structure of MoOs2Rh.

a = 5.7418 Å, b = 5.7418 Å, c = 6.6799 Å
α = 64.55°, β = 64.55°, γ = 90.00°
Sites, in units of the cell vectors:
Os  0.6315  0.1250  0.2500
Os  0.3750  0.3685  0.7500
Os  0.1185  0.6250  0.2500
Rh  0.0000  0.0000  0.0000
Mo  0.2500  0.7500  0.5000
Rh  0.7500  0.2500  0.5000
Mo  0.5000  0.5000  0.0000
Os  0.8750  0.8815  0.7500

M_tot: 0.0 μB per formula unit
Total energy: -8.81 eV per atom
Formation energy: 1353 meV per atom
Relative energy among the computed polymorphs: 1402 meV/atom
Mass density: 11.00 g/cm3

***

# 3
The following is a DFT calculation (PBE) of an optimized crystal structure of Rb2Na.

a = 8.6806 Å, b = 8.6806 Å, c = 8.6806 Å
α = 60.00°, β = 60.00°, γ = 60.00°
Sites, in units of the cell vectors:
Na  0.2500  0.2500  0.2500
Rb  0.1250  0.6250  0.6250
Rb  0.6250  0.6250  0.1250
Rb  0.6250  0.6250  0.6250
Na  0.0000  0.0000  0.0000
Rb  0.6250  0.1250  0.6250

M_tot: 0.0 μB per formula unit
Total energy: -0.93 eV per atom
Formation energy: 158 meV per atom
Relative energy among the computed polymorphs: 139 meV/atom
Mass density: 1.39 g/cm3

***

# 4
The following is a DFT calculation (PBE) of an optimized crystal structure of Sr3Li6Ag5.

a = 4.4845 Å, b = 10.6299 Å, c = 13.9063 Å
α = 90.00°, β = 90.00°, γ = 90.00°
Sites, in units of the cell vectors:
Li  0.5000  0.4201  0.8148
Sr  0.5000  0.7548  0.1897
Li  0.5000  0.5630  0.0000
Ag  0.5000  0.2133  0.5000
Ag  0.0000  0.8650  0.3417
Sr  0.5000  0.7548  0.8103
Li  0.0000  0.5799  0.3148
Ag  0.0000  0.8650  0.6583
Li  0.0000  0.4370  0.5000
Ag  0.5000  0.4562  0.6105
Ag  0.0000  0.5438  0.8895
Li  0.5000  0.0132  0.6506
Li  0.0000  0.5799  0.6852
Sr  0.0000  0.2633  0.0000
Li  0.0000  0.9868  0.1506
Li  0.0000  0.0281  0.5000
Ag  0.5000  0.1350  0.1583
Li  0.5000  0.9719  0.0000
Ag  0.5000  0.4562  0.3895
Li  0.0000  0.9868  0.8494
Li  0.5000  0.4201  0.1852
Ag  0.5000  0.1350  0.8417
Ag  0.0000  0.7867  0.0000
Sr  0.0000  0.2452  0.3103
Sr  0.0000  0.2452  0.6897
Sr  0.5000  0.7367  0.5000
Ag  0.0000  0.5438  0.1105
Li  0.5000  0.0132  0.3494

M_tot: 0.0 μB per formula unit
Total energy: -2.39 eV per atom
Formation energy: -190 meV per atom
Mass density: 4.23 g/cm3

***

# 5
The following is a DFT calculation (PBE) of an optimized crystal structure of PmTm4Ir4.

a = 5.5941 Å, b = 8.8919 Å, c = 8.8919 Å
α = 90.00°, β = 90.00°, γ = 90.00°
Sites, in units of the cell vectors:
Tm  0.8933  0.5954  0.8350
Tm  0.6067  0.0954  0.3350
Pm  0.0000  0.0000  0.0000
Ir  0.1042  0.1355  0.2855
Pm  0.5000  0.5000  0.5000
Tm  0.3933  0.3350  0.9046
Tm  0.3933  0.6650  0.0954
Ir  0.8958  0.2855  0.8645
Ir  0.1042  0.8645  0.7145
Ir  0.8958  0.7145  0.1355
Ir  0.3958  0.3645  0.2145
Ir  0.6042  0.2145  0.6355
Ir  0.3958  0.6355  0.7855
Tm  0.1067  0.8350  0.4046
Ir  0.6042  0.7855  0.3645
Tm  0.8933  0.4046  0.1650
Tm  0.6067  0.9046  0.6650
Tm  0.1067  0.1650  0.5954

M_tot: 0.0 μB per formula unit
Total energy: -7.12 eV per atom
Formation energy: -665 meV per atom
Mass density: 11.94 g/cm3

***

# 6
The following is a DFT calculation (PBE) of an optimized crystal structure of Re2RuPt.

a = 3.9529 Å, b = 2.7310 Å, c = 6.1324 Å
α = 63.48°, β = 90.00°, γ = 90.00°
Sites, in units of the cell vectors:
Re  0.0000  0.5180  0.4822
Re  0.0000  0.9820  0.0178
Pt  0.5000  0.7500  0.7500
Ru  0.5000  0.2500  0.2500

M_tot: 0.0 μB per formula unit
Total energy: -10.09 eV per atom
Formation energy: -39 meV per atom
Relative energy among the computed polymorphs: 89 meV/atom
Mass density: 18.74 g/cm3

***

# 7
The following is a DFT calculation (PBE) of an optimized crystal structure of K3H2.

a = 7.0275 Å, b = 7.0275 Å, c = 8.0693 Å
α = 64.19°, β = 64.19°, γ = 60.00°
Sites, in units of the cell vectors:
H  0.3346  0.3346  0.9961
K  0.0674  0.7500  0.7500
H  0.1654  0.1654  0.5039
K  0.4326  0.0674  0.7500
H  0.6654  0.6654  0.0039
K  0.5674  0.9326  0.2500
K  0.2500  0.5674  0.2500
K  0.9326  0.2500  0.2500
H  0.8346  0.8346  0.4961
K  0.7500  0.4326  0.7500

M_tot: 1.0 μB per formula unit
Total energy: -2.04 eV per atom
Mass density: 1.33 g/cm3

***

# 8
The following is a DFT calculation (PBE) of an optimized crystal structure of Ce5Bi4P.

a = 6.3853 Å, b = 7.7850 Å, c = 7.7850 Å
α = 80.32°, β = 65.79°, γ = 65.79°
Site moments in Bohr magnetons follow the coordinates.
Sites, in units of the cell vectors:
Ce  0.7234  0.1811  0.3741  0.78
Ce  0.2787  0.8189  0.6259  0.78
Bi  0.1959  0.2138  0.3965  -0.04
Ce  0.9045  0.3741  0.8189  0.78
P  0.0010  0.0000  0.0000  -0.04
Ce  0.5010  0.0000  0.0000  0.84
Bi  0.5924  0.6035  0.2138  -0.04
Bi  0.4097  0.3965  0.7862  -0.04
Ce  0.0976  0.6259  0.1811  0.78
Bi  0.8062  0.7862  0.6035  -0.04

M_tot: 4.3 μB per formula unit
Total energy: -5.94 eV per atom
Formation energy: -882 meV per atom
Relative energy among the computed polymorphs: 0 meV/atom
Mass density: 8.09 g/cm3

***

# 9
The following is a DFT calculation (PBE) of an optimized crystal structure of BaZn2PdBr.

a = 6.5267 Å, b = 5.9910 Å, c = 6.5267 Å
α = 90.00°, β = 90.00°, γ = 90.00°
Sites, in units of the cell vectors:
Pd  0.5000  0.5000  0.5000
Zn  0.5000  0.0000  0.0000
Ba  0.0000  0.0000  0.0000
Br  0.0000  0.5000  0.0000
Zn  0.0000  0.0000  0.5000

M_tot: 0.0 μB per formula unit
Total energy: -1.79 eV per atom
Formation energy from raw total energies: 46.26 kJ/mol of atoms
Mass density: 2.96 g/cm3

***

# 10
The following is a DFT calculation (PBE) of an optimized crystal structure of Mo2Os5Ru2.

a = 3.8555 Å, b = 4.7558 Å, c = 8.2512 Å
α = 73.41°, β = 76.49°, γ = 66.09°
Sites, in units of the cell vectors:
Ru  0.6670  0.5553  0.1106
Os  0.0052  0.6613  0.3284
Ru  0.3330  0.4447  0.8894
Os  0.6630  0.8937  0.7804
Os  0.0000  0.0000  0.0000
Mo  0.3330  0.7735  0.5604
Mo  0.6670  0.2265  0.4396
Os  0.3370  0.1063  0.2196
Os  0.9948  0.3387  0.6716

M_tot: 0.0 μB per formula unit
Total energy: -10.60 eV per atom
Formation energy: 109 meV per atom
Mass density: 17.01 g/cm3

***

# 11
The following is a DFT calculation (PBE) of an optimized crystal structure of MnSe2Cl.

a = 6.0212 Å, b = 3.7851 Å, c = 3.7851 Å
α = 90.00°, β = 90.00°, γ = 90.00°
Site moments in Bohr magnetons follow the coordinates.
Sites, in units of the cell vectors:
Se  0.0000  0.5000  0.5000  0.06
Mn  0.5000  0.0000  0.5000  4.37
Se  0.0000  0.0000  0.0000  0.06
Cl  0.5000  0.5000  0.0000  0.05

M_tot: 4.9 μB per formula unit
Total energy: -4.51 eV per atom
Formation energy from raw total energies: -1.00 kJ/mol of atoms
Relative energy among the computed polymorphs: 456 meV/atom
Mass density: 4.78 g/cm3

***

# 12
The following is a DFT calculation (PBE) of an optimized crystal structure of CaDy3Ho2Se6.

a = 4.0707 Å, b = 8.2019 Å, c = 9.1304 Å
α = 103.09°, β = 102.88°, γ = 90.00°
Sites, in units of the cell vectors:
Se  0.0019  0.2519  0.0037
Ho  0.1700  0.3403  0.3400
Se  0.3329  0.9165  0.6659
Dy  0.8333  0.1732  0.6667
Dy  0.5000  0.5000  0.0000
Se  0.3347  0.4186  0.6693
Se  0.9981  0.7481  0.9963
Dy  0.1667  0.8268  0.3333
Se  0.6653  0.5814  0.3307
Se  0.6671  0.0835  0.3341
Ho  0.8300  0.6597  0.6600
Ca  0.5000  0.0000  0.0000

M_tot: 0.0 μB per formula unit
Total energy: -5.60 eV per atom
Formation energy from raw total energies: -171.86 kJ/mol of atoms
Mass density: 7.65 g/cm3